Entry 1:
This record from Alexandria via LeMat-Bulk describes a relaxed structure of SrLi. The functional is PBE.

Output
distance to the lowest polymorph of the same formula	151.3	meV per atom
Fermi-level density of states	1.07	states/eV/atom
magnetization	0.000	Bohr magnetons per cell
energy relative to the elements	0.18	eV/atom

Unit cell a=6.0256 b=6.0256 c=6.0256 alpha=60.00 beta=60.00 gamma=60.00
Last column: nearest neighbours and their distance in Å.
Fractional positions:
Li1 0.0000 0.0000 0.0000  4 Sr 3.69, 4 Li 3.69
Li2 0.2500 0.2500 0.2500  4 Li 3.69, 4 Sr 3.69
Sr1 0.7500 0.7500 0.7500  4 Sr 3.69, 4 Li 3.69
Sr2 0.5000 0.5000 0.5000  4 Sr 3.69, 4 Li 3.69

Entry 2:
This record from Alexandria via LeMat-Bulk describes a relaxed structure of BePN3. The functional is PBE.

Output
Fermi-level density of states	0.92	states/eV/atom
formation energy from raw total energies	1.790	eV/atom
magnetization	0.000	Bohr magnetons per cell

Unit cell a=3.4700 b=3.4700 c=3.4700 alpha=90.00 beta=90.00 gamma=90.00
Last column: nearest neighbours and their distance in Å.
Fractional positions:
Be1 0.0000 0.0000 0.0000  6 N 1.74
N1 0.0000 0.5000 0.0000  2 Be 1.74
N2 0.5000 0.0000 0.0000  2 Be 1.74
N3 0.0000 0.0000 0.5000  2 Be 1.74
P1 0.5000 0.5000 0.5000  12 N 2.45

Entry 3:
This record from Alexandria via LeMat-Bulk describes a relaxed structure of Ba5Bi3. The functional is PBE.

Output
Fermi-level density of states	0.19	states/eV/atom
magnetization	1.854	Bohr magnetons per cell
energy relative to the elements	-0.90	eV/atom

Unit cell a=10.3030 b=10.3030 c=7.9948 alpha=90.00 beta=90.00 gamma=120.00
Last column: nearest neighbours and their distance in Å.
Fractional positions:
Ba1 0.6667 0.3333 0.5000  6 Bi 3.75, 2 Ba 4.00
Ba2 0.6667 0.3333 0.0000  6 Bi 3.75, 2 Ba 4.00
Ba3 0.0000 0.2544 0.7500  3 Bi 3.54-3.65
Ba4 0.2544 0.0000 0.7500  3 Bi 3.54-3.65
Ba5 0.3333 0.6667 0.0000  6 Bi 3.75, 2 Ba 4.00
Ba6 0.0000 0.7456 0.2500  3 Bi 3.54-3.65
Ba7 0.3333 0.6667 0.5000  6 Bi 3.75, 2 Ba 4.00
Ba8 0.2544 0.2544 0.2500  3 Bi 3.54-3.65
Ba9 0.7456 0.0000 0.2500  3 Bi 3.54-3.65
Ba10 0.7456 0.7456 0.7500  3 Bi 3.54-3.65
Bi1 0.6086 0.0000 0.7500  7 Ba 3.54-3.75
Bi2 0.6086 0.6086 0.2500  7 Ba 3.54-3.75
Bi3 0.0000 0.3914 0.2500  7 Ba 3.54-3.75
Bi4 0.3914 0.3914 0.7500  7 Ba 3.54-3.75
Bi5 0.0000 0.6086 0.7500  7 Ba 3.54-3.75
Bi6 0.3914 0.0000 0.2500  7 Ba 3.54-3.75

Entry 4:
This record from Alexandria via LeMat-Bulk describes a relaxed structure of BaGeTe4Pb2. The functional is PBE.

Output
formation energy from raw total energies	-0.590	eV/atom
magnetization	0.000	Bohr magnetons per cell

Unit cell a=9.3188 b=9.3188 c=9.3237 alpha=120.02 beta=120.02 gamma=89.97
Last column: nearest neighbours and their distance in Å.
Fractional positions:
Pb1 0.5000 0.0000 0.5000  6 Te 3.21-3.22
Pb2 0.0000 0.0000 0.5000  6 Te 3.41-3.42
Pb3 0.5000 0.5000 0.0000  6 Te 3.41-3.42
Pb4 0.5000 0.0000 0.0000  6 Te 3.21-3.22
Te1 0.2531 0.7723 0.0127  1 Ge 3.17, 3 Pb 3.22-3.42, 2 Ba 3.38
Te2 0.7469 0.2277 0.9873  1 Ge 3.17, 3 Pb 3.22-3.42, 2 Ba 3.38
Te3 0.2567 0.2431 0.0175  2 Ge 3.18, 3 Pb 3.21-3.42, 1 Ba 3.39
Te4 0.7277 0.2469 0.4873  1 Ge 3.17, 3 Pb 3.22-3.42, 2 Ba 3.38
Te5 0.2569 0.2433 0.4825  2 Ge 3.18, 3 Pb 3.21-3.42, 1 Ba 3.39
Te6 0.2723 0.7531 0.5127  1 Ge 3.17, 3 Pb 3.22-3.42, 2 Ba 3.38
Te7 0.7433 0.7569 0.9825  2 Ge 3.18, 3 Pb 3.21-3.42, 1 Ba 3.39
Te8 0.7431 0.7567 0.5175  2 Ge 3.18, 3 Pb 3.21-3.42, 1 Ba 3.39
Ge1 0.5000 0.5000 0.5000  6 Te 3.17-3.18
Ge2 0.0000 0.0000 0.0000  6 Te 3.17-3.18
Ba1 0.0000 0.5000 0.5000  6 Te 3.38-3.39
Ba2 0.0000 0.5000 0.0000  6 Te 3.38-3.39

Entry 5:
This record from Alexandria via LeMat-Bulk describes a relaxed structure of Sm8ZnTe4S3. The functional is PBE.

Output
Fermi-level density of states	0.55	states/eV/atom
formation energy from raw total energies	-1.495	eV/atom
magnetization	0.000	Bohr magnetons per cell

Unit cell a=8.3925 b=8.6468 c=8.3926 alpha=119.03 beta=120.00 gamma=90.00
Last column: nearest neighbours and their distance in Å.
Fractional positions:
Sm1 0.2411 0.7175 0.4822  2 S 2.87, 1 Zn 2.90, 3 Te 3.14-3.17
Sm2 0.7589 0.2825 0.0235  2 S 2.87, 1 Zn 2.90, 3 Te 3.14-3.17
Sm3 0.7589 0.2825 0.5178  2 S 2.87, 1 Zn 2.90, 3 Te 3.14-3.17
Sm4 0.7354 0.7175 0.9765  2 S 2.87, 1 Zn 2.90, 3 Te 3.14-3.17
Sm5 0.2411 0.7175 0.9765  2 S 2.87, 1 Zn 2.90, 3 Te 3.14-3.17
Sm6 0.2644 0.2931 0.5288  3 S 2.84
Sm7 0.7356 0.7069 0.4712  3 S 2.84
Sm8 0.2646 0.2825 0.0235  2 S 2.87, 1 Zn 2.90, 3 Te 3.14-3.17
Te1 0.5000 0.0000 0.5000  6 Sm 3.17-3.21
Te2 0.5000 0.0000 0.0000  6 Sm 3.14
Te3 0.0000 0.0000 0.5000  6 Sm 3.17-3.21
Te4 0.0000 0.0000 0.0000  6 Sm 3.17-3.21
S1 0.0000 0.5000 0.5000  6 Sm 2.84-2.87
S2 0.5000 0.5000 0.5000  6 Sm 2.84-2.87
S3 0.5000 0.5000 0.0000  6 Sm 2.84-2.87
Zn1 0.0000 0.5000 0.0000  6 Sm 2.90

Entry 6:
This record from Alexandria via LeMat-Bulk describes a relaxed structure of UTlCd. The functional is PBE.

Output
Fermi-level density of states	1.66	states/eV/atom
magnetization	0.099	Bohr magnetons per cell
energy relative to the elements	0.20	eV/atom

Unit cell a=3.6949 b=5.3985 c=7.5058 alpha=98.38 beta=90.00 gamma=90.00
Last column: nearest neighbours and their distance in Å.
Fractional positions:
Cd1 0.7500 0.2205 0.4902  2 Cd 3.03, 3 Tl 3.09-3.15
Cd2 0.2500 0.7795 0.5098  2 Cd 3.03, 3 Tl 3.09-3.15
Tl1 0.2500 0.4488 0.8134  3 Cd 3.09-3.15, 5 U 3.31-3.38, 2 Tl 3.33
Tl2 0.7500 0.5512 0.1866  3 Cd 3.09-3.15, 5 U 3.31-3.38, 2 Tl 3.33
U1 0.7500 0.9631 0.8885  2 U 2.49
U2 0.2500 0.0369 0.1115  2 U 2.49

Entry 7:
This record from Alexandria via LeMat-Bulk describes a relaxed structure of ZnCoRu2. The functional is PBE.

Output
Fermi-level density of states	1.32	states/eV/atom
magnetization	1.277	Bohr magnetons per cell
energy relative to the elements	0.20	eV/atom

Unit cell a=2.6716 b=3.5897 c=5.4994 alpha=90.00 beta=90.00 gamma=90.00
Last column: nearest neighbours and their distance in Å.
Fractional positions:
Zn1 0.5000 0.5000 0.2500  8 Ru 2.67, 2 Zn 2.67, 2 Co 2.75
Co1 0.5000 0.5000 0.7500  8 Ru 2.58, 2 Co 2.67, 2 Zn 2.75
Ru1 0.0000 0.0000 0.9848  3 Ru 2.58-2.67, 4 Co 2.58, 4 Zn 2.67
Ru2 0.0000 0.0000 0.5152  3 Ru 2.58-2.67, 4 Co 2.58, 4 Zn 2.67

Entry 8:
This record from Alexandria via LeMat-Bulk describes a relaxed structure of TiBP3. The functional is PBE.

Output
distance to the lowest polymorph of the same formula	0.0	meV per atom
Fermi-level density of states	0.89	states/eV/atom
magnetization	0.000	Bohr magnetons per cell
energy relative to the elements	0.55	eV/atom

Unit cell a=4.1223 b=4.1223 c=4.1223 alpha=90.00 beta=90.00 gamma=90.00
Last column: nearest neighbours and their distance in Å.
Fractional positions:
B1 0.0000 0.0000 0.0000  6 P 2.06
P1 0.0000 0.0000 0.5000  2 B 2.06
P2 0.5000 0.0000 0.0000  2 B 2.06
P3 0.0000 0.5000 0.0000  2 B 2.06
Ti1 0.5000 0.5000 0.5000  12 P 2.91

Entry 9:
This record from Alexandria via LeMat-Bulk describes a relaxed structure of CsCuAg2S2. The functional is PBE.

Output
formation energy from raw total energies	-0.411	eV/atom
magnetization	0.000	Bohr magnetons per cell

Unit cell a=4.5174 b=6.8914 c=10.2289 alpha=90.00 beta=90.00 gamma=90.00
Last column: nearest neighbours and their distance in Å.
Fractional positions:
S1 0.0000 0.1730 0.1759  1 Cu 2.16
S2 0.5000 0.6730 0.3241  1 Cu 2.16
S3 0.0000 0.8270 0.8241  1 Cu 2.16
S4 0.5000 0.3270 0.6759  1 Cu 2.16
Ag1 0.5000 0.9848 0.8197  3 S 2.51-2.78
Ag2 0.0000 0.4848 0.6803  3 S 2.51-2.78
Ag3 0.0000 0.5152 0.3197  3 S 2.51-2.78
Ag4 0.5000 0.0152 0.1803  3 S 2.51-2.78
Cu1 0.0000 0.0000 0.0000  2 S 2.16
Cu2 0.5000 0.5000 0.5000  2 S 2.16
Cs1 0.5000 0.5000 0.0000  6 S 3.52-3.66, 2 Ag 3.82
Cs2 0.0000 0.0000 0.5000  6 S 3.52-3.66, 2 Ag 3.82

Entry 10:
This record from Alexandria via LeMat-Bulk describes a relaxed structure of Ce5PuSb2. The functional is PBE.

Output
Fermi-level density of states	2.43	states/eV/atom
formation energy from raw total energies	-0.544	eV/atom
magnetization	9.880	Bohr magnetons per cell

Unit cell a=6.6740 b=6.6745 c=6.6743 alpha=119.52 beta=119.51 gamma=90.84
Last column: nearest neighbours and their distance in Å.
Fractional positions:
Ce1 0.7822 0.2728 0.0000  6 Ce 3.30-3.42, 2 Pu 3.31-3.37, 4 Sb 3.34
Ce2 0.2728 0.7822 0.0000  6 Ce 3.30-3.42, 2 Pu 3.31-3.37, 4 Sb 3.34
Ce3 0.2728 0.2728 0.4906  6 Ce 3.30-3.42, 2 Pu 3.31-3.37, 4 Sb 3.33-3.34
Ce4 0.7822 0.7822 0.5094  6 Ce 3.30-3.42, 2 Pu 3.31-3.37, 4 Sb 3.34
Ce5 0.2889 0.2889 0.0000  8 Ce 3.30-3.38, 4 Sb 3.36
Sb1 0.2779 0.7779 0.5000  10 Ce 3.34-3.36, 2 Pu 3.36
Sb2 0.7779 0.2779 0.5000  10 Ce 3.33-3.36, 2 Pu 3.36
Pu1 0.7682 0.7682 0.0000  8 Ce 3.31-3.37, 4 Sb 3.36

Entry 11:
This record from Alexandria via LeMat-Bulk describes a relaxed structure of TaMn2Mo. The functional is PBE.

Output
distance to the lowest polymorph of the same formula	199.8	meV per atom
Fermi-level density of states	0.91	states/eV/atom
magnetization	2.376	Bohr magnetons per cell
energy relative to the elements	0.17	eV/atom

Unit cell a=5.0636 b=5.0636 c=5.0636 alpha=137.98 beta=137.98 gamma=60.93
Last column: nearest neighbours and their distance in Å.
Fractional positions:
Mn1 0.0000 0.0000 0.0000  4 Mo 2.57, 4 Mn 2.84, 4 Ta 2.84
Mn2 0.2500 0.7500 0.5000  4 Ta 2.57, 4 Mo 2.84, 4 Mn 2.84
Mo1 0.5000 0.5000 0.0000  8 Mn 2.57-2.84, 4 Ta 2.84
Ta1 0.7500 0.2500 0.5000  8 Mn 2.57-2.84, 4 Mo 2.84